(1)
Density functional theory data (meta-GGA SCAN) for Nd3Ge2Ru2 at its PBEsol-relaxed geometry.

Unit cell a=5.6545 b=7.8460 c=13.5264 alpha=90.00 beta=90.00 gamma=90.00
Positions (direct):
Nd 0.1269 0.2379 0.2500
Nd 0.1269 0.2621 0.7500
Nd 0.3503 0.5976 0.0985
Nd 0.3503 0.5976 0.4015
Nd 0.3503 0.9024 0.5985
Nd 0.3503 0.9024 0.9015
Nd 0.6497 0.0976 0.0985
Nd 0.6497 0.0976 0.4015
Nd 0.6497 0.4024 0.5985
Nd 0.6497 0.4024 0.9015
Nd 0.8731 0.7379 0.2500
Nd 0.8731 0.7621 0.7500
Ge 0.1175 0.2500 0.0000
Ge 0.1175 0.2500 0.5000
Ge 0.3650 0.6109 0.7500
Ge 0.3650 0.8891 0.2500
Ge 0.6350 0.1109 0.7500
Ge 0.6350 0.3891 0.2500
Ge 0.8825 0.7500 0.0000
Ge 0.8825 0.7500 0.5000
Ru 0.1459 0.5309 0.5905
Ru 0.1459 0.5309 0.9095
Ru 0.1459 0.9691 0.0905
Ru 0.1459 0.9691 0.4095
Ru 0.8541 0.0309 0.5905
Ru 0.8541 0.0309 0.9095
Ru 0.8541 0.4691 0.0905
Ru 0.8541 0.4691 0.4095

Output
As for the density of states at the Fermi level: 0.3843 states/eV/atom. The spin magnetization comes out at 0.00 μB/atom. The formation energy is -0.721 eV/atom.



(2)
Density functional theory data (meta-GGA SCAN) for Nd2Ge2Ru at its PBEsol-relaxed geometry.

Unit cell a=5.9336 b=5.9336 c=10.4903 alpha=117.80 beta=117.80 gamma=42.44
Positions (direct):
Nd 0.0052 0.0052 0.1760
Nd 0.1862 0.1862 0.6094
Nd 0.8138 0.8138 0.3906
Nd 0.9948 0.9948 0.8240
Ge 0.3480 0.3480 0.9335
Ge 0.4970 0.4970 0.6275
Ge 0.5030 0.5030 0.3725
Ge 0.6520 0.6520 0.0665
Ru 0.2752 0.2752 0.1223
Ru 0.7248 0.7248 0.8777

Output
As for the density of states at the Fermi level: 0.5201 states/eV/atom. The spin magnetization comes out at 0.00 μB/atom. The formation energy is -0.846 eV/atom.



(3)
Density functional theory data (meta-GGA SCAN) for Nd3Ge13Ru4 at its PBEsol-relaxed geometry.

Unit cell a=9.0092 b=9.0092 c=9.0092 alpha=90.00 beta=90.00 gamma=90.00
Positions (direct):
Nd 0.0000 0.2500 0.5000
Nd 0.0000 0.7500 0.5000
Nd 0.2500 0.5000 0.0000
Nd 0.5000 0.0000 0.2500
Nd 0.5000 0.0000 0.7500
Nd 0.7500 0.5000 0.0000
Ge 0.0000 0.0000 0.0000
Ge 0.0000 0.2967 0.1474
Ge 0.0000 0.2967 0.8526
Ge 0.0000 0.7033 0.1474
Ge 0.0000 0.7033 0.8526
Ge 0.1474 0.0000 0.2967
Ge 0.1474 0.0000 0.7033
Ge 0.2033 0.5000 0.3526
Ge 0.2033 0.5000 0.6474
Ge 0.2967 0.1474 0.0000
Ge 0.2967 0.8526 0.0000
Ge 0.3526 0.2033 0.5000
Ge 0.3526 0.7967 0.5000
Ge 0.5000 0.3526 0.2033
Ge 0.5000 0.3526 0.7967
Ge 0.5000 0.5000 0.5000
Ge 0.5000 0.6474 0.2033
Ge 0.5000 0.6474 0.7967
Ge 0.6474 0.2033 0.5000
Ge 0.6474 0.7967 0.5000
Ge 0.7033 0.1474 0.0000
Ge 0.7033 0.8526 0.0000
Ge 0.7967 0.5000 0.3526
Ge 0.7967 0.5000 0.6474
Ge 0.8526 0.0000 0.2967
Ge 0.8526 0.0000 0.7033
Ru 0.2500 0.2500 0.2500
Ru 0.2500 0.2500 0.7500
Ru 0.2500 0.7500 0.2500
Ru 0.2500 0.7500 0.7500
Ru 0.7500 0.2500 0.2500
Ru 0.7500 0.2500 0.7500
Ru 0.7500 0.7500 0.2500
Ru 0.7500 0.7500 0.7500

Output
As for the density of states at the Fermi level: 0.4427 states/eV/atom. The spin magnetization comes out at 0.00 μB/atom. The formation energy is -0.508 eV/atom.



(4)
Density functional theory data (meta-GGA SCAN) for NdScGe at its PBEsol-relaxed geometry.

Unit cell a=4.2604 b=4.2604 c=15.7772 alpha=90.00 beta=90.00 gamma=90.00
Positions (direct):
Nd 0.0000 0.0000 0.1768
Nd 0.0000 0.0000 0.8232
Nd 0.5000 0.5000 0.3232
Nd 0.5000 0.5000 0.6768
Sc 0.0000 0.5000 0.0000
Sc 0.0000 0.5000 0.5000
Sc 0.5000 0.0000 0.0000
Sc 0.5000 0.0000 0.5000
Ge 0.0000 0.0000 0.3768
Ge 0.0000 0.0000 0.6232
Ge 0.5000 0.5000 0.1232
Ge 0.5000 0.5000 0.8768

Output
As for the density of states at the Fermi level: 0.5533 states/eV/atom. The spin magnetization comes out at 0.32 μB/atom. The formation energy is -0.807 eV/atom.



(5)
Density functional theory data (meta-GGA SCAN) for Nd6Ge3Se14 at its PBEsol-relaxed geometry.

Unit cell a=10.5322 b=10.5322 c=5.9852 alpha=90.00 beta=90.00 gamma=120.00
Positions (direct):
Nd 0.0242 0.5623 0.0000
Nd 0.3087 0.1048 0.4947
Nd 0.4377 0.4618 0.0000
Nd 0.5382 0.9758 0.0000
Nd 0.7961 0.6913 0.4947
Nd 0.8952 0.2039 0.4947
Ge 0.0000 0.0000 0.9114
Ge 0.3333 0.6667 0.4183
Ge 0.6667 0.3333 0.7608
Se 0.0000 0.0000 0.3006
Se 0.0843 0.8482 0.7506
Se 0.1518 0.2362 0.7506
Se 0.1814 0.4306 0.2558
Se 0.2492 0.8186 0.2558
Se 0.3333 0.6667 0.8071
Se 0.4078 0.1668 0.0076
Se 0.5035 0.4282 0.5172
Se 0.5694 0.7508 0.2558
Se 0.5718 0.0752 0.5172
Se 0.7590 0.5922 0.0076
Se 0.7638 0.9157 0.7506
Se 0.8332 0.2410 0.0076
Se 0.9248 0.4965 0.5172

Output
The calculation puts the uncorrected formation energy at -1517 meV per atom. The spin magnetization comes out at 0.00 μB/atom.



(6)
Density functional theory data (meta-GGA SCAN) for NdSiGe at its PBEsol-relaxed geometry.

Unit cell a=4.0798 b=4.0878 c=15.1869 alpha=90.00 beta=90.00 gamma=90.00
Positions (direct):
Nd 0.0000 0.2500 0.1205
Nd 0.0000 0.7500 0.8795
Nd 0.5000 0.2500 0.3795
Nd 0.5000 0.7500 0.6205
Si 0.0000 0.2500 0.5383
Si 0.0000 0.7500 0.4617
Si 0.5000 0.2500 0.9617
Si 0.5000 0.7500 0.0383
Ge 0.0000 0.2500 0.7012
Ge 0.0000 0.7500 0.2988
Ge 0.5000 0.2500 0.7988
Ge 0.5000 0.7500 0.2012

Output
As for the density of states at the Fermi level: 0.3205 states/eV/atom. The calculation puts the uncorrected formation energy at -638 meV per atom. The spin magnetization comes out at 0.00 μB/atom.



(7)
Density functional theory data (meta-GGA SCAN) for Nd10Si3Ge3 at its PBEsol-relaxed geometry.

Unit cell a=8.7095 b=8.7095 c=6.5733 alpha=90.00 beta=90.00 gamma=120.00
Positions (direct):
Nd 0.0000 0.2483 0.0000
Nd 0.0000 0.7540 0.5000
Nd 0.2460 0.2460 0.5000
Nd 0.2483 0.0000 0.0000
Nd 0.3333 0.6667 0.2536
Nd 0.3333 0.6667 0.7464
Nd 0.6667 0.3333 0.2536
Nd 0.6667 0.3333 0.7464
Nd 0.7517 0.7517 0.0000
Nd 0.7540 0.0000 0.5000
Si 0.0000 0.3930 0.5000
Si 0.3930 0.0000 0.5000
Si 0.6070 0.6070 0.5000
Ge 0.0000 0.6077 0.0000
Ge 0.3923 0.3923 0.0000
Ge 0.6077 0.0000 0.0000

Output
As for the density of states at the Fermi level: 0.8658 states/eV/atom. The calculation puts the uncorrected formation energy at -708 meV per atom. The spin magnetization comes out at 0.00 μB/atom.



(8)
Density functional theory data (meta-GGA SCAN) for NdVGe3 at its PBEsol-relaxed geometry.

Unit cell a=6.1767 b=6.1767 c=5.5276 alpha=90.00 beta=90.00 gamma=120.00
Positions (direct):
Nd 0.3333 0.6667 0.2500
Nd 0.6667 0.3333 0.7500
V 0.0000 0.0000 0.0000
V 0.0000 0.0000 0.5000
Ge 0.1946 0.3892 0.7500
Ge 0.1946 0.8054 0.7500
Ge 0.3892 0.1946 0.2500
Ge 0.6108 0.8054 0.7500
Ge 0.8054 0.1946 0.2500
Ge 0.8054 0.6108 0.2500

Output
As for the density of states at the Fermi level: 0.4169 states/eV/atom. The spin magnetization comes out at 0.00 μB/atom. The formation energy is -0.587 eV/atom.



Question: Which formula does entry 6 have?
Answer: NdSiGe



Question: Which formula does entry 1 have?
Answer: Nd3Ge2Ru2



Question: Look up the spin magnetization of the fifth one.
Answer: 0.00 μB/atom